[1]
SrPaV2O8: relaxed, GGA+U.

Properties
For the total energy, the calculation gives -8.0327 eV per atom. The value obtained for the theoretical density is 4.35 Mg/m³. The calculated volume comes out at 209.15 Å³/cell.

abc: 5.8097 5.8097 7.1553
angles: 90.00 90.00 120.00
Space group P-3m1 (No. 164)
Asymmetric unit:
1 Sr 0.0000 0.0000 0.0000 (multiplicity 1)
2 Pa 0.0000 0.0000 0.5000 (multiplicity 1)
3 V 0.3333 0.6667 0.2170 (multiplicity 2)
4 O 0.1634 0.3267 0.2986 (multiplicity 6)
5 O 0.3333 0.6667 0.9838 (multiplicity 2)



[2]
SrPaVO6: relaxed, GGA+U.

Properties
For the total energy, the calculation gives -8.0143 eV per atom. The value obtained for the theoretical density is 6.19 Mg/m³. The calculated volume comes out at 124.81 Å³/cell.

abc: 5.4935 5.4935 4.7756
angles: 90.00 90.00 120.00
Space group P312 (No. 149)
Asymmetric unit:
1 Sr 0.0000 0.0000 0.0000 (multiplicity 1)
2 Pa 0.6667 0.3333 0.5000 (multiplicity 1)
3 V 0.3333 0.6667 0.0000 (multiplicity 1)
4 O 0.0268 0.4057 0.2348 (multiplicity 6)



[3]
Sr2PaVO6: relaxed, GGA+U.

Properties
For the total energy, the calculation gives -8.0159 eV per atom. The value obtained for the theoretical density is 6.39 Mg/m³. The calculated volume comes out at 287.55 Å³/cell.

abc: 5.849 5.912 10.133
angles: 90.00 124.85 90.00
Space group P2_1/c (No. 14)
Asymmetric unit:
1 Sr 0.240 0.035 0.249 (multiplicity 4)
2 Pa 0.500 0.000 0.000 (multiplicity 2)
3 V 0.000 0.000 0.500 (multiplicity 2)
4 O 0.165 0.220 0.960 (multiplicity 4)
5 O 0.239 0.709 0.959 (multiplicity 4)
6 O 0.321 0.019 0.744 (multiplicity 4)